{
  "formula": "Cr2TcHg",
  "functional": "meta-GGA SCAN",
  "state": "PBEsol geometry",
  "crystal_system": "orthorhombic",
  "e_form_ev_per_atom": 0.518,
  "lattice_angstrom": [[-1.3224, 1.6395, -1.6410], [-1.2906, -0.2238, 2.3267], [4.4162, 6.6546, 3.0897]],
  "species": ["Cr", "Cr", "Hg", "Tc"],
  "fractional_positions": [[0.0000, 0.0000, 0.2241], [0.0000, 0.0000, 0.7759], [0.5000, 0.5000, 0.5000], [0.5000, 0.5000, 0.0000]]
}

=====

{
  "formula": "Cr2TcHg",
  "functional": "meta-GGA SCAN",
  "state": "PBEsol geometry",
  "crystal_system": "monoclinic",
  "e_form_ev_per_atom": 0.498,
  "lattice_angstrom": [[-1.6420, -2.2927, 0.5403], [2.8315, -1.2693, 3.2193], [-2.4771, 3.9184, 1.4690]],
  "species": ["Tc", "Cr", "Cr", "Hg"],
  "fractional_positions": [[0.2714, 0.7958, 0.5429], [0.0217, 0.0004, 0.0433], [0.7187, 0.2286, 0.4374], [0.4882, 0.4751, 0.9764]]
}

=====

{
  "formula": "Cr2TcHg",
  "functional": "meta-GGA SCAN",
  "state": "PBEsol geometry",
  "crystal_system": "orthorhombic",
  "e_form_ev_per_atom": 0.423,
  "lattice_angstrom": [[2.9523, 0.0000, 0.0000], [0.0000, 4.3590, 0.0000], [-1.4762, -2.1795, 4.3433]],
  "species": ["Hg", "Cr", "Cr", "Tc"],
  "fractional_positions": [[0.4893, 0.4893, 0.9786], [0.7208, 0.2208, 0.4416], [0.0171, 0.0171, 0.0342], [0.2728, 0.7728, 0.5456]]
}

=====

{
  "formula": "CrHgTe2",
  "functional": "meta-GGA SCAN",
  "state": "PBEsol geometry",
  "crystal_system": "monoclinic",
  "formation_energy_uncorrected_ev_per_atom": -0.27,
  "lattice_angstrom": [[-1.5425, -3.3953, 0.7197], [3.0799, 1.1330, 1.9243], [-6.1902, 3.6680, 4.0371]],
  "species": ["Te", "Te", "Cr", "Hg"],
  "fractional_positions": [[0.7298, 0.4597, 0.6910], [0.2702, 0.5403, 0.3090], [0.0000, 0.0000, 0.5000], [0.5000, 0.0000, 0.0000]]
}

=====

{
  "formula": "CrHgTe2",
  "functional": "meta-GGA SCAN",
  "state": "PBEsol geometry",
  "crystal_system": "tetragonal",
  "formation_energy_uncorrected_ev_per_atom": 0.10,
  "lattice_angstrom": [[4.0503, 0.0000, 0.0000], [0.0000, 4.0503, 0.0000], [-2.0251, -2.0251, 6.1011]],
  "species": ["Te", "Te", "Hg", "Cr"],
  "fractional_positions": [[0.7500, 0.2500, 0.5000], [0.0000, 0.0000, 0.0000], [0.2500, 0.7500, 0.5000], [0.5000, 0.5000, 0.0000]]
}

=====

{
  "formula": "CrHgTe2",
  "functional": "meta-GGA SCAN",
  "state": "PBEsol geometry",
  "crystal_system": "tetragonal",
  "formation_energy_uncorrected_ev_per_atom": 0.10,
  "lattice_angstrom": [[-3.0560, -0.3107, -1.0709], [0.8060, -2.7744, -1.4952], [-2.1112, -4.5753, 7.3517]],
  "species": ["Hg", "Cr", "Te", "Te"],
  "fractional_positions": [[0.5000, 0.5000, 0.7056], [0.0000, 0.0000, 0.4887], [0.5000, 0.5000, 0.3266], [0.0000, 0.0000, 0.9791]]
}

=====

{
  "formula": "CrHgTe2",
  "functional": "meta-GGA SCAN",
  "state": "PBEsol geometry",
  "crystal_system": "orthorhombic",
  "formation_energy_uncorrected_ev_per_atom": -0.13,
  "lattice_angstrom": [[3.9056, 0.0000, 0.0000], [0.0000, 5.6842, -0.1194], [0.0000, -2.5255, 4.8516]],
  "species": ["Te", "Te", "Cr", "Hg"],
  "fractional_positions": [[0.0000, 0.8557, 0.6779], [0.0000, 0.1443, 0.3221], [0.5000, 0.5000, 0.5000], [0.5000, 0.5000, 0.0000]]
}

=====

{
  "formula": "CrHg3Te",
  "functional": "meta-GGA SCAN",
  "state": "PBEsol geometry",
  "crystal_system": "cubic",
  "formation_energy_uncorrected_ev_per_atom": 0.37,
  "lattice_angstrom": [[-3.8927, -2.6413, 2.1573], [0.3716, -3.5828, -3.7160], [3.3900, -2.6402, 2.8846]],
  "species": ["Hg", "Hg", "Hg", "Cr", "Te"],
  "fractional_positions": [[0.5000, 0.0000, 0.0000], [0.0000, 0.0000, 0.5000], [0.0000, 0.5000, 0.0000], [0.0000, 0.0000, 0.0000], [0.5000, 0.5000, 0.5000]]
}

=====

{
  "formula": "CrHg2Te",
  "functional": "meta-GGA SCAN",
  "state": "PBEsol geometry",
  "crystal_system": "monoclinic",
  "formation_energy_uncorrected_ev_per_atom": -0.05,
  "lattice_angstrom": [[3.6766, 0.0000, 0.0000], [0.0000, 3.8474, -0.0167], [0.0000, -1.8971, 6.5409]],
  "species": ["Te", "Hg", "Hg", "Cr"],
  "fractional_positions": [[0.0000, 0.4752, 0.5732], [0.5000, 0.8018, 0.2302], [0.0000, 0.1937, 0.0158], [0.5000, 0.0293, 0.6808]]
}

=====

{
  "formula": "TlCrHg2",
  "functional": "meta-GGA SCAN",
  "state": "PBEsol geometry",
  "crystal_system": "monoclinic",
  "e_form_ev_per_atom": 0.214,
  "lattice_angstrom": [[3.4977, 0.0000, 0.0000], [0.0000, 5.1484, -0.0092], [-1.7488, -1.2080, 4.7558]],
  "species": ["Cr", "Hg", "Hg", "Tl"],
  "fractional_positions": [[0.7450, 0.2405, 0.4899], [0.2540, 0.7634, 0.5081], [0.0097, 0.0130, 0.0193], [0.4913, 0.4831, 0.9827]]
}

=====

{
  "formula": "TlCrHg2",
  "functional": "meta-GGA SCAN",
  "state": "PBEsol geometry",
  "crystal_system": "tetragonal",
  "e_form_ev_per_atom": 0.236,
  "lattice_angstrom": [[4.4396, 0.0000, 0.0000], [0.0000, 4.3400, 0.0000], [0.0000, 0.0000, 4.3400]],
  "species": ["Tl", "Hg", "Hg", "Cr"],
  "fractional_positions": [[0.5000, 0.5000, 0.5000], [0.0000, 0.0000, 0.5000], [0.0000, 0.5000, 0.0000], [0.5000, 0.0000, 0.0000]]
}

=====

{
  "formula": "Tl2CrHg",
  "functional": "meta-GGA SCAN",
  "state": "PBEsol geometry",
  "crystal_system": "tetragonal",
  "e_form_ev_per_atom": 0.259,
  "lattice_angstrom": [[4.4528, 0.0000, 0.0000], [0.0000, 4.4528, 0.0000], [-2.2264, -2.2264, 4.5430]],
  "species": ["Tl", "Tl", "Cr", "Hg"],
  "fractional_positions": [[0.7500, 0.2500, 0.5000], [0.0000, 0.0000, 0.0000], [0.5000, 0.5000, 0.0000], [0.2500, 0.7500, 0.5000]]
}

=====

{
  "formula": "TlCrHg2",
  "functional": "meta-GGA SCAN",
  "state": "PBEsol geometry",
  "crystal_system": "orthorhombic",
  "e_form_ev_per_atom": 0.202,
  "lattice_angstrom": [[-1.4353, -2.2393, 1.9188], [3.8263, -2.5340, -0.0952], [1.9472, 2.7645, 4.6782]],
  "species": ["Cr", "Hg", "Hg", "Tl"],
  "fractional_positions": [[0.3749, 0.5000, 0.8245], [0.8752, 0.0000, 0.9387], [0.8747, 0.5000, 0.2614], [0.3752, 0.0000, 0.4754]]
}

=====

{
  "formula": "TlCrHg2",
  "functional": "meta-GGA SCAN",
  "state": "PBEsol geometry",
  "crystal_system": "tetragonal",
  "e_form_ev_per_atom": 0.205,
  "lattice_angstrom": [[-2.3067, -2.2552, 0.0927], [2.2520, -2.2905, 0.3131], [-0.3847, 0.7256, 8.0759]],
  "species": ["Tl", "Cr", "Hg", "Hg"],
  "fractional_positions": [[0.0000, 0.0000, 0.4753], [0.5000, 0.5000, 0.2351], [0.0000, 0.0000, 0.0266], [0.5000, 0.5000, 0.7630]]
}

=====

{
  "formula": "CrHgW",
  "functional": "meta-GGA SCAN",
  "state": "PBEsol geometry",
  "crystal_system": "tetragonal",
  "e_form_ev_per_atom": 0.547,
  "lattice_angstrom": [[2.8035, 0.0000, 0.0000], [0.0000, 2.8035, 0.0000], [-1.4018, -1.4018, 6.1633]],
  "species": ["W", "Cr", "Hg"],
  "fractional_positions": [[0.3459, 0.3459, 0.6918], [0.9915, 0.9915, 0.9830], [0.6626, 0.6626, 0.3252]]
}

=====

{
  "formula": "CrHg2W",
  "functional": "meta-GGA SCAN",
  "state": "PBEsol geometry",
  "crystal_system": "tetragonal",
  "de_polymorph_mev_per_atom": 121,
  "e_form_ev_per_atom": 0.621,
  "lattice_angstrom": [[0.0203, -2.8672, -0.1050], [2.5490, 0.0676, -1.3154], [3.8378, -0.2448, 7.4248]],
  "species": ["Cr", "Hg", "Hg", "W"],
  "fractional_positions": [[0.5000, 0.5000, 0.0000], [0.0000, 0.0000, 0.2401], [0.0000, 0.0000, 0.7599], [0.5000, 0.5000, 0.5000]]
}

=====

no.,E_tot (eV/atom)
1,-34.48
2,-34.50
3,-34.58
4,-40.53
5,-40.16
6,-40.17
7,-40.39
8,-51.66
9,-48.05
10,-56.55
11,-56.53
12,-57.56
13,-56.57
14,-56.56
15,-51.53
16,-55.48